1.
## Fe2OsPb (GGA-PBE)

Data for crystalline Fe2OsPb at its relaxed geometry.

abc: 3.988 3.988 3.904
angles: 90.00 90.00 90.00
Sites, in units of the cell vectors:
Fe1 0.000 0.500 0.000
Fe2 0.500 0.000 0.000
Os1 0.000 0.000 0.500
Pb1 0.500 0.500 0.500

DOS at the Fermi energy (states/eV per atom): 0.772
E_form (eV/atom): 0.625


2.
## GaF4 (GGA-PBE)

Data for crystalline GaF4 at its relaxed geometry.

abc: 4.158 4.158 4.158
angles: 90.00 90.00 90.00
Sites, in units of the cell vectors:
Ga1 0.000 0.000 0.000
F1 0.251 0.251 0.251
F2 0.251 0.749 0.749
F3 0.749 0.251 0.749
F4 0.749 0.749 0.251

DOS at the Fermi energy (states/eV per atom): 1.710
Formation energy from raw total energies (eV per atom): -1.76
Energy relative to the lowest polymorph listed for this composition (meV/atom): 56.1


3.
## Dy2AlCd (GGA-PBE)

Data for crystalline Dy2AlCd at its relaxed geometry.

abc: 3.635 3.635 7.503
angles: 90.00 90.00 90.00
Sites, in units of the cell vectors:
Dy1 0.000 0.000 0.239
Dy2 0.000 0.000 0.761
Al1 0.500 0.500 0.000
Cd1 0.500 0.500 0.500

DOS at the Fermi energy (states/eV per atom): 0.605
E_form (eV/atom): -0.367


4.
## PmScNiSb (GGA-PBE)

Data for crystalline PmScNiSb at its relaxed geometry.

abc: 5.021 5.021 5.021
angles: 60.00 60.00 60.00
Sites, in units of the cell vectors:
Pm1 0.000 0.000 0.000
Sc1 0.500 0.500 0.500
Ni1 0.250 0.250 0.250
Sb1 0.750 0.750 0.750

DOS at the Fermi energy (states/eV per atom): 1.097
Formation energy from raw total energies (eV per atom): -0.43


5.
## RbRu2Cl (GGA-PBE)

Data for crystalline RbRu2Cl at its relaxed geometry.

abc: 8.990 8.990 8.990
angles: 148.55 148.55 45.07
Sites, in units of the cell vectors:
Rb1 0.000 0.000 0.000
Rb2 0.750 0.250 0.500
Ru1 0.353 0.625 0.228
Ru2 0.375 0.603 0.728
Ru3 0.397 0.125 0.772
Ru4 0.875 0.647 0.272
Cl1 0.250 0.750 0.500
Cl2 0.500 0.500 0.000

DOS at the Fermi energy (states/eV per atom): 0.954
Formation energy from raw total energies (eV per atom): 0.76
Energy relative to the lowest polymorph listed for this composition (meV/atom): 0.0


6.
## Zn2CuPt (GGA-PBE)

Data for crystalline Zn2CuPt at its relaxed geometry.

abc: 4.780 4.780 4.538
angles: 103.05 103.05 34.05
Sites, in units of the cell vectors:
Zn1 0.000 0.000 0.000
Zn2 0.245 0.245 0.701
Cu1 0.499 0.499 0.499
Pt1 0.750 0.750 0.207

DOS at the Fermi energy (states/eV per atom): 0.229
E_form (eV/atom): -0.306


What did the sixth record say?
## Zn2CuPt (GGA-PBE)

Data for crystalline Zn2CuPt at its relaxed geometry.

abc: 4.780 4.780 4.538
angles: 103.05 103.05 34.05
Sites, in units of the cell vectors:
Zn1 0.000 0.000 0.000
Zn2 0.245 0.245 0.701
Cu1 0.499 0.499 0.499
Pt1 0.750 0.750 0.207

DOS at the Fermi energy (states/eV per atom): 0.229
E_form (eV/atom): -0.306


- Look up the DOS at the Fermi energy of the second one.
  1.710 states/eV per atom


- What is the DOS at the Fermi energy in the third record?
  0.605 states/eV per atom


- The lowest DOS at the Fermi energy belongs to which entry?
  Zn2CuPt